{"formula": "ReGeSCl2", "functional": "GGA-PBEsol", "state": "relaxed", "dos_at_fermi_per_ev_fu": 1.4, "volume_a3_per_cell": 114, "spacegroup": "P4/mmm (123)", "formation_energy_uncorrected_mev_per_atom": 1005, "cell": [[4.8074, 0.0000, 0.0000], [0.0000, 4.8074, 0.0000], [0.0000, 0.0000, 4.9163]], "species": ["S", "Cl", "Re", "Cl", "Ge"], "fractional_positions": [[0.0000, 0.0000, 0.5000], [0.5000, 0.0000, 0.0000], [0.5000, 0.5000, 0.5000], [0.0000, 0.5000, 0.0000], [0.0000, 0.0000, 0.0000]]}